(1)
! ScHg2Ru (PBE-GGA, optimized geometry); values from VASP
! total magnetization	0.00	Bohr magnetons per cell
! energy relative to the elements	18.7	kJ per mole of atoms
! ΔE to the lowest computed polymorph	0.3214	eV per atom
! N(E_F)	3.82	states/eV/cell
! final energy	-30.87	eV/cell
&SYSTEM
  ibrav = 0, nat = 8, ntyp = 3
/
ATOMIC_SPECIES
Sc 44.96 Sc.upf
Hg 200.59 Hg.upf
Ru 101.07 Ru.upf
ATOMIC_POSITIONS crystal
Sc 0.000 0.000 0.000
Sc 0.750 0.250 0.500
Hg 0.137 0.625 0.012
Hg 0.375 0.387 0.512
Hg 0.613 0.125 0.988
Hg 0.875 0.863 0.488
Ru 0.250 0.750 0.500
Ru 0.500 0.500 0.000
CELL_PARAMETERS angstrom
-2.008 2.008 10.310
2.008 -2.008 10.310
2.008 2.008 -10.310

---

(2)
! PrGaAg2Pd2 (PBE-GGA, optimized geometry); values from VASP
! total magnetization	0.00	Bohr magnetons per cell
! energy relative to the elements	-0.8	kJ per mole of atoms
! N(E_F)	4.99	states/eV/cell
! final energy	-23.94	eV/cell
&SYSTEM
  ibrav = 0, nat = 6, ntyp = 4
/
ATOMIC_SPECIES
Pr 140.91 Pr.upf
Ga 69.72 Ga.upf
Ag 107.87 Ag.upf
Pd 106.42 Pd.upf
ATOMIC_POSITIONS crystal
Pr 0.000 0.000 0.000
Ga 0.500 0.500 0.000
Ag 0.250 0.750 0.500
Ag 0.750 0.250 0.500
Pd 0.270 0.270 0.000
Pd 0.730 0.730 0.000
CELL_PARAMETERS angstrom
-2.660 2.660 5.100
2.660 -2.660 5.100
2.660 2.660 -5.100

---

(3)
! LiSb3 (PBE-GGA, optimized geometry); values from VASP
! total magnetization	0.00	Bohr magnetons per cell
! ΔE to the lowest computed polymorph	0.1685	eV per atom
! N(E_F)	1.58	states/eV/cell
! formation energy from raw total energies	0.0326	eV per atom
! final energy	-14.15	eV/cell
&SYSTEM
  ibrav = 0, nat = 4, ntyp = 2
/
ATOMIC_SPECIES
Li 6.94 Li.upf
Sb 121.76 Sb.upf
ATOMIC_POSITIONS crystal
Li 0.000 0.000 0.000
Sb 0.000 0.000 0.500
Sb 0.667 0.333 0.227
Sb 0.667 0.333 0.773
CELL_PARAMETERS angstrom
3.390 0.000 0.000
-1.695 2.936 0.000
0.000 0.000 9.980

---

(4)
! NiTe2WI (PBE-GGA, optimized geometry); values from VASP
! total magnetization	3.04	Bohr magnetons per cell
! ΔE to the lowest computed polymorph	0.0853	eV per atom
! N(E_F)	4.68	states/eV/cell
! formation energy from raw total energies	1.2164	eV per atom
! final energy	-20.49	eV/cell
&SYSTEM
  ibrav = 0, nat = 5, ntyp = 4
/
ATOMIC_SPECIES
Ni 58.69 Ni.upf
Te 127.60 Te.upf
W 183.84 W.upf
I 126.90 I.upf
ATOMIC_POSITIONS crystal
Ni 0.000 0.000 0.000
Te 0.000 0.500 0.000
Te 0.500 0.000 0.000
W 0.500 0.500 0.500
I 0.000 0.000 0.500
CELL_PARAMETERS angstrom
5.037 0.000 0.000
0.000 5.037 0.000
0.000 0.000 5.057

---

(5)
! Ca3P4Rh13 (PBE-GGA, optimized geometry); values from VASP
! total magnetization	0.00	Bohr magnetons per cell
! energy relative to the elements	-55.3	kJ per mole of atoms
! N(E_F)	23.43	states/eV/cell
! final energy	-269.34	eV/cell
&SYSTEM
  ibrav = 0, nat = 40, ntyp = 3
/
ATOMIC_SPECIES
Ca 40.08 Ca.upf
P 30.97 P.upf
Rh 102.91 Rh.upf
ATOMIC_POSITIONS crystal
Ca 0.000 0.250 0.500
Ca 0.000 0.750 0.500
Ca 0.250 0.500 0.000
Ca 0.500 0.000 0.250
Ca 0.500 0.000 0.750
Ca 0.750 0.500 0.000
P 0.250 0.250 0.250
P 0.250 0.250 0.750
P 0.250 0.750 0.250
P 0.250 0.750 0.750
P 0.750 0.250 0.250
P 0.750 0.250 0.750
P 0.750 0.750 0.250
P 0.750 0.750 0.750
Rh 0.000 0.000 0.000
Rh 0.000 0.273 0.158
Rh 0.000 0.273 0.842
Rh 0.000 0.727 0.158
Rh 0.000 0.727 0.842
Rh 0.158 0.000 0.273
Rh 0.158 0.000 0.727
Rh 0.227 0.500 0.342
Rh 0.227 0.500 0.658
Rh 0.273 0.158 0.000
Rh 0.273 0.842 0.000
Rh 0.342 0.227 0.500
Rh 0.342 0.773 0.500
Rh 0.500 0.342 0.227
Rh 0.500 0.342 0.773
Rh 0.500 0.500 0.500
Rh 0.500 0.658 0.227
Rh 0.500 0.658 0.773
Rh 0.658 0.227 0.500
Rh 0.658 0.773 0.500
Rh 0.727 0.158 0.000
Rh 0.727 0.842 0.000
Rh 0.773 0.500 0.342
Rh 0.773 0.500 0.658
Rh 0.842 0.000 0.273
Rh 0.842 0.000 0.727
CELL_PARAMETERS angstrom
8.662 0.000 0.000
0.000 8.662 0.000
0.000 0.000 8.662

---

(6)
! CeNdCoAu (PBE-GGA, optimized geometry); values from VASP
! total magnetization	0.40	Bohr magnetons per cell
! energy relative to the elements	-25.6	kJ per mole of atoms
! N(E_F)	7.53	states/eV/cell
! final energy	-22.15	eV/cell
&SYSTEM
  ibrav = 0, nat = 4, ntyp = 4
/
ATOMIC_SPECIES
Ce 140.12 Ce.upf
Nd 144.24 Nd.upf
Co 58.93 Co.upf
Au 196.97 Au.upf
ATOMIC_POSITIONS crystal
Ce 0.000 0.000 0.000
Nd 0.500 0.500 0.500
Co 0.750 0.750 0.750
Au 0.250 0.250 0.250
CELL_PARAMETERS angstrom
0.000 3.585 3.585
3.585 0.000 3.585
3.585 3.585 0.000

---

(7)
! Dy4RuSe2S (PBE-GGA, optimized geometry); values from VASP
! total magnetization	0.00	Bohr magnetons per cell
! N(E_F)	5.05	states/eV/cell
! formation energy from raw total energies	-1.4213	eV per atom
! final energy	-50.15	eV/cell
&SYSTEM
  ibrav = 0, nat = 8, ntyp = 4
/
ATOMIC_SPECIES
Dy 162.50 Dy.upf
Ru 101.07 Ru.upf
Se 78.96 Se.upf
S 32.06 S.upf
ATOMIC_POSITIONS crystal
Dy 0.237 0.000 0.228
Dy 0.242 0.500 0.776
Dy 0.758 0.500 0.224
Dy 0.763 0.000 0.772
Ru 0.000 0.500 0.000
Se 0.000 0.000 0.500
Se 0.500 0.500 0.500
S 0.500 0.000 0.000
CELL_PARAMETERS angstrom
7.074 0.000 0.000
0.000 3.953 0.000
-2.167 0.000 6.793

---

(8)
! RuAuBr6 (PBE-GGA, optimized geometry); values from VASP
! total magnetization	1.69	Bohr magnetons per cell
! N(E_F)	4.48	states/eV/cell
! formation energy from raw total energies	-0.1673	eV per atom
! final energy	-23.93	eV/cell
&SYSTEM
  ibrav = 0, nat = 8, ntyp = 3
/
ATOMIC_SPECIES
Ru 101.07 Ru.upf
Au 196.97 Au.upf
Br 79.90 Br.upf
ATOMIC_POSITIONS crystal
Ru 0.000 0.000 0.000
Au 0.500 0.500 0.500
Br 0.093 0.404 0.245
Br 0.191 0.191 0.809
Br 0.404 0.093 0.245
Br 0.596 0.907 0.755
Br 0.809 0.809 0.191
Br 0.907 0.596 0.755
CELL_PARAMETERS angstrom
3.682 -5.576 0.000
3.682 5.576 0.000
-3.601 0.000 6.488

---

(9)
! NaCu3Hg (PBE-GGA, optimized geometry); values from VASP
! total magnetization	0.00	Bohr magnetons per cell
! energy relative to the elements	56.6	kJ per mole of atoms
! ΔE to the lowest computed polymorph	0.0000	eV per atom
! N(E_F)	1.50	states/eV/cell
! final energy	-10.98	eV/cell
&SYSTEM
  ibrav = 0, nat = 5, ntyp = 3
/
ATOMIC_SPECIES
Na 22.99 Na.upf
Cu 63.55 Cu.upf
Hg 200.59 Hg.upf
ATOMIC_POSITIONS crystal
Na 0.000 0.000 0.000
Cu 0.000 0.500 0.500
Cu 0.500 0.000 0.500
Cu 0.500 0.500 0.000
Hg 0.500 0.500 0.500
CELL_PARAMETERS angstrom
4.943 0.000 0.000
0.000 4.943 0.000
0.000 0.000 4.943

---

(10)
! TaCu2S4 (PBE-GGA, optimized geometry); values from VASP
! total magnetization	0.01	Bohr magnetons per cell
! ΔE to the lowest computed polymorph	0.0000	eV per atom
! N(E_F)	7.83	states/eV/cell
! formation energy from raw total energies	-0.5489	eV per atom
! final energy	-40.40	eV/cell
&SYSTEM
  ibrav = 0, nat = 7, ntyp = 3
/
ATOMIC_SPECIES
Ta 180.95 Ta.upf
Cu 63.55 Cu.upf
S 32.06 S.upf
ATOMIC_POSITIONS crystal
Ta 0.000 0.000 0.000
Cu 0.000 0.500 0.000
Cu 0.500 0.000 0.000
S 0.246 0.246 0.231
S 0.246 0.754 0.769
S 0.754 0.246 0.769
S 0.754 0.754 0.231
CELL_PARAMETERS angstrom
5.633 0.000 0.000
0.000 5.633 0.000
0.000 0.000 5.257

---

(11)
! Hg12SbPb16 (PBE-GGA, optimized geometry); values from VASP
! total magnetization	0.00	Bohr magnetons per cell
! N(E_F)	10.88	states/eV/cell
! formation energy from raw total energies	0.0354	eV per atom
! final energy	-66.05	eV/cell
&SYSTEM
  ibrav = 0, nat = 29, ntyp = 3
/
ATOMIC_SPECIES
Hg 200.59 Hg.upf
Sb 121.76 Sb.upf
Pb 207.20 Pb.upf
ATOMIC_POSITIONS crystal
Hg 0.000 0.000 0.000
Hg 0.074 0.271 0.919
Hg 0.221 0.221 0.346
Hg 0.250 0.598 0.122
Hg 0.271 0.074 0.919
Hg 0.418 0.612 0.652
Hg 0.423 0.824 0.473
Hg 0.598 0.250 0.122
Hg 0.612 0.418 0.652
Hg 0.622 0.817 0.275
Hg 0.817 0.622 0.275
Hg 0.824 0.423 0.473
Sb 0.008 0.008 0.518
Pb 0.000 0.632 0.848
Pb 0.084 0.471 0.313
Pb 0.100 0.844 0.246
Pb 0.129 0.372 0.649
Pb 0.143 0.759 0.617
Pb 0.372 0.129 0.649
Pb 0.386 0.804 0.965
Pb 0.447 0.447 0.946
Pb 0.471 0.084 0.313
Pb 0.484 0.484 0.329
Pb 0.632 0.000 0.848
Pb 0.731 0.731 0.973
Pb 0.759 0.143 0.617
Pb 0.782 0.782 0.624
Pb 0.804 0.386 0.965
Pb 0.844 0.100 0.246
CELL_PARAMETERS angstrom
6.115 -7.719 0.000
6.115 7.719 0.000
-4.425 0.000 9.018

---

(12)
! NaDyHgPd (PBE-GGA, optimized geometry); values from VASP
! total magnetization	0.00	Bohr magnetons per cell
! energy relative to the elements	-37.2	kJ per mole of atoms
! N(E_F)	2.16	states/eV/cell
! final energy	-12.96	eV/cell
&SYSTEM
  ibrav = 0, nat = 4, ntyp = 4
/
ATOMIC_SPECIES
Na 22.99 Na.upf
Dy 162.50 Dy.upf
Hg 200.59 Hg.upf
Pd 106.42 Pd.upf
ATOMIC_POSITIONS crystal
Na 0.000 0.000 0.000
Dy 0.500 0.500 0.500
Hg 0.750 0.750 0.750
Pd 0.250 0.250 0.250
CELL_PARAMETERS angstrom
0.000 3.543 3.543
3.543 0.000 3.543
3.543 3.543 0.000

---

Copy entry 4 word for word.
! NiTe2WI (PBE-GGA, optimized geometry); values from VASP
! total magnetization	3.04	Bohr magnetons per cell
! ΔE to the lowest computed polymorph	0.0853	eV per atom
! N(E_F)	4.68	states/eV/cell
! formation energy from raw total energies	1.2164	eV per atom
! final energy	-20.49	eV/cell
&SYSTEM
  ibrav = 0, nat = 5, ntyp = 4
/
ATOMIC_SPECIES
Ni 58.69 Ni.upf
Te 127.60 Te.upf
W 183.84 W.upf
I 126.90 I.upf
ATOMIC_POSITIONS crystal
Ni 0.000 0.000 0.000
Te 0.000 0.500 0.000
Te 0.500 0.000 0.000
W 0.500 0.500 0.500
I 0.000 0.000 0.500
CELL_PARAMETERS angstrom
5.037 0.000 0.000
0.000 5.037 0.000
0.000 0.000 5.057